# AlVP2O

Crystalline AlVP2O at its relaxed geometry (GGA+U, Alexandria).

Cell lengths 4.7549, 4.7549, 3.6007 Å; angles 90.00, 90.00, 90.00 degrees
Fractional coordinates of all 5 atoms:
Al 0.0000 0.0000 0.0000
V 0.5000 0.5000 0.5000
P 0.0000 0.5000 0.5000
P 0.5000 0.0000 0.5000
O 0.5000 0.5000 0.0000

Values from the calculation:
- M_tot: 0.058 μB/atom
- Energy: -27.38 eV for the cell shown
- Relative energy among the computed polymorphs: 0.000 eV per atom